Below is ErTm2C3 after structural relaxation, with properties calculated at the PBE-GGA level.

Results
V ... 209 Å³ per cell
E ... -83.41 eV per cell
Energy relative to the elements ... -0.09 eV per atom

Lattice parameters (Å, degrees): 6.834 6.834 6.834 131.78 86.22 113.56
Sites, in units of the cell vectors:
Er 0.274 0.024 0.250
Er 0.726 0.976 0.750
Tm 0.098 0.670 0.428
Tm 0.257 0.330 0.928
Tm 0.743 0.670 0.072
Tm 0.902 0.330 0.572
C 0.000 0.000 0.500
C 0.000 0.124 0.124
C 0.000 0.500 0.000
C 0.000 0.876 0.876
C 0.500 0.124 0.624
C 0.500 0.876 0.376